<1>
A plane-wave DFT calculation with PBE-GGA was carried out for a relaxed structure of Ta2ZnHPt.

Cell lengths 5.1226, 3.1736, 5.1226 Å; angles 90.00, 90.00, 90.00 degrees
Fractional positions:
Pt1 0.0000 0.0000 0.0000
Zn1 0.5000 0.5000 0.5000
Ta1 0.0000 0.0000 0.5000
Ta2 0.5000 0.0000 0.0000
H1 0.0000 0.5000 0.0000

=====

<2>
A plane-wave DFT calculation with PBE-GGA was carried out for a relaxed structure of Ta2ZnHPt.

Cell lengths 4.0631, 4.0631, 4.1138 Å; angles 90.00, 90.00, 90.00 degrees
Fractional positions:
Pt1 0.5000 0.5000 0.5000
Zn1 0.0000 0.0000 0.5000
H1 0.0000 0.0000 0.0000
Ta1 0.0000 0.5000 0.0000
Ta2 0.5000 0.0000 0.0000

=====

<2> (850 meV/atom below the next structure)

=====

<1>
A plane-wave DFT calculation with PBE-GGA was carried out for a relaxed structure of TbHPt3.

Cell lengths 5.9302, 5.9302, 5.9302 Å; angles 119.62, 119.62, 60.38 degrees
Fractional positions:
Pt1 0.5082 0.1192 0.4161
Pt2 0.4850 0.6192 0.3929
Pt3 0.4850 0.1424 0.9161
Pt4 0.9850 0.6424 0.4161
Pt5 0.0082 0.6192 0.9161
Pt6 0.9850 0.1192 0.8929
H1 0.1618 0.2960 0.2393
H2 0.6618 0.7961 0.7392
Tb1 0.4936 0.6278 0.9075
Tb2 0.9936 0.1278 0.4075

=====

<2>
A plane-wave DFT calculation with PBE-GGA was carried out for a relaxed structure of TbHPt3.

Cell lengths 5.3688, 5.3688, 5.3688 Å; angles 88.76, 88.76, 88.76 degrees
Fractional positions:
Tb1 0.7942 0.7942 0.7942
Tb2 0.2942 0.2942 0.2942
H1 0.0442 0.0442 0.0442
H2 0.5442 0.5442 0.5442
Pt1 0.2953 0.0446 0.7932
Pt2 0.7932 0.2953 0.0446
Pt3 0.5446 0.7953 0.2932
Pt4 0.0446 0.7932 0.2953
Pt5 0.7953 0.2932 0.5446
Pt6 0.2932 0.5446 0.7953

=====

<1> (207 meV/atom below the next structure)

=====

<1>
A plane-wave DFT calculation with PBE-GGA was carried out for a relaxed structure of Tc3HPt.

Cell lengths 4.8567, 4.8567, 4.8567 Å; angles 90.00, 90.00, 90.00 degrees
Each line ends with the local moment (μB).
Fractional positions:
Tc1 0.0000 0.5000 0.0000  2.21
Tc2 0.5000 0.0000 0.0000  1.71
Tc3 0.0000 0.0000 0.5000  2.10
Pt1 0.0000 0.0000 0.0000  0.07
H1 0.5000 0.5000 0.5000  0.11

=====

<2>
A plane-wave DFT calculation with PBE-GGA was carried out for a relaxed structure of Tc3HPt.

Cell lengths 3.9308, 3.9308, 3.9308 Å; angles 90.00, 90.00, 90.00 degrees
Fractional positions:
Tc1 0.0000 0.0000 0.5000
Tc2 0.0000 0.5000 0.0000
Tc3 0.5000 0.0000 0.0000
H1 0.0000 0.0000 0.0000
Pt1 0.5000 0.5000 0.5000

=====

<2> (2605 meV/atom below the next structure)

=====

<1>
A plane-wave DFT calculation with PBE-GGA was carried out for a relaxed structure of TcHPt3.

Cell lengths 4.8127, 4.8127, 4.8127 Å; angles 90.00, 90.00, 90.00 degrees
Each line ends with the local moment (μB).
Fractional positions:
Tc1 0.0000 0.0000 0.0000  0.10
Pt1 0.0000 0.0000 0.5000  0.01
Pt2 0.5000 0.0000 0.0000  0.03
Pt3 0.0000 0.5000 0.0000  0.02
H1 0.5000 0.5000 0.5000  0.34

=====

<2>
A plane-wave DFT calculation with PBE-GGA was carried out for a relaxed structure of TcHPt3.

Cell lengths 4.0430, 4.0430, 4.0430 Å; angles 90.00, 90.00, 90.00 degrees
Each line ends with the local moment (μB).
Fractional positions:
Tc1 0.5000 0.5000 0.5000  2.47
Pt1 0.0000 0.0000 0.5000  0.28
Pt2 0.0000 0.5000 0.0000  0.30
Pt3 0.5000 0.0000 0.0000  0.35
H1 0.0000 0.0000 0.0000  0.00

=====

<2> (1515 meV/atom below the next structure)

=====

<1>
A plane-wave DFT calculation with PBE-GGA was carried out for a relaxed structure of TcH2Pt2.

Cell lengths 2.8238, 2.8238, 6.8808 Å; angles 78.16, 78.16, 90.00 degrees
Fractional positions:
Pt1 0.6467 0.6467 0.7065
Pt2 0.3533 0.3533 0.2935
Tc1 0.0000 0.0000 0.0000
H1 0.7500 0.2500 0.5000
H2 0.2500 0.7500 0.5000

=====

<2>
A plane-wave DFT calculation with PBE-GGA was carried out for a relaxed structure of TcH2Pt2.

Cell lengths 6.3793, 6.3793, 2.7343 Å; angles 90.00, 90.00, 90.00 degrees
Fractional positions:
Tc1 0.0000 0.0000 0.0000
Tc2 0.5000 0.5000 0.0000
H1 0.7152 0.2152 0.0000
H2 0.7848 0.7152 0.0000
H3 0.2848 0.7848 0.0000
H4 0.2152 0.2848 0.0000
Pt1 0.3421 0.1579 0.5000
Pt2 0.8421 0.3421 0.5000
Pt3 0.1579 0.6579 0.5000
Pt4 0.6579 0.8421 0.5000

=====

<1> (154 meV/atom below the next structure)

=====

<1>
A plane-wave DFT calculation with PBE-GGA was carried out for a relaxed structure of TeH2Pt.

Cell lengths 4.0711, 4.0711, 4.0711 Å; angles 60.00, 60.00, 60.00 degrees
Fractional positions:
H1 0.7500 0.7500 0.7500
H2 0.2500 0.2500 0.2500
Pt1 0.5000 0.5000 0.5000
Te1 0.0000 0.0000 0.0000

=====

<2>
A plane-wave DFT calculation with PBE-GGA was carried out for a relaxed structure of TeH2Pt.

Cell lengths 5.3958, 5.3958, 5.4170 Å; angles 60.13, 60.13, 90.00 degrees
Fractional positions:
H1 0.8113 0.6250 0.2500
H2 0.9387 0.1250 0.2500
H3 0.8750 0.1887 0.7500
H4 0.3750 0.0613 0.7500
Pt1 0.0000 0.0000 0.0000
Pt2 0.7500 0.2500 0.5000
Te1 0.2500 0.7500 0.5000
Te2 0.5000 0.5000 0.0000

=====

<2> (505 meV/atom below the next structure)